## EuSc (PBE)

Data for an optimized crystal structure of EuSc.

Summary:
calculated volume = 31.96 Å³/atom
E above lowest polymorph = 0 meV/atom
formation energy from the elements = 0.111 eV/atom

abc: 3.732 3.732 9.179
angles: 90.00 90.00 90.00
Element x y z (fractional)
Eu 0.250 0.250 0.156
Eu 0.750 0.750 0.844
Sc 0.250 0.250 0.591
Sc 0.750 0.750 0.409